No. 1
Compound: Li2AlAg4
Source: the Alexandria database
Functional: PBE-GGA
Structure: relaxed

a b c (Å): 4.854 4.854 7.585
angles (deg): 108.66 108.66 90.00
Sites, in units of the cell vectors:
Li1 0.611 0.611 0.221
Li2 0.389 0.389 0.779
Al1 0.000 0.000 0.000
Ag1 0.811 0.811 0.622
Ag2 0.189 0.189 0.378
Ag3 0.000 0.500 0.000
Ag4 0.500 0.000 0.000

Output
Symmetry: No. 139
Energy relative to the elements in kJ/mol of formula units: 165
Total moment in μB/f.u.: 0.00
E in eV per atom: -2.4666

No. 2
Compound: LaAlIr2
Source: the Alexandria database
Functional: PBE-GGA
Structure: relaxed

a b c (Å): 3.125 3.116 7.933
angles (deg): 66.88 90.00 90.00
Sites, in units of the cell vectors:
Ir1 0.000 0.052 0.948
Ir2 0.000 0.448 0.552
Al1 0.500 0.750 0.750
La1 0.500 0.250 0.250

Output
Symmetry: No. 123
Energy relative to the elements in kJ/mol of formula units: -231
Total moment in μB/f.u.: 0.00
E in eV per atom: -7.1961

No. 3
Compound: Lu2PuSn
Source: the Alexandria database
Functional: PBE-GGA
Structure: relaxed

a b c (Å): 3.486 3.486 8.889
angles (deg): 90.00 90.00 90.00
Sites, in units of the cell vectors:
Lu1 0.000 0.000 0.767
Lu2 0.000 0.000 0.233
Sn1 0.500 0.500 0.000
Pu1 0.500 0.500 0.500

Output
Symmetry: No. 123
Energy relative to the elements in kJ/mol of formula units: -84
Total moment in μB/f.u.: 6.29
E in eV per atom: -7.0627

No. 4
Compound: NaLiSbO3
Source: the Alexandria database
Functional: PBE-GGA
Structure: relaxed

a b c (Å): 3.346 8.159 5.921
angles (deg): 97.71 90.00 90.00
Sites, in units of the cell vectors:
Na1 0.250 0.316 0.364
Na2 0.750 0.684 0.636
Li1 0.250 0.037 0.667
Li2 0.750 0.963 0.333
Sb1 0.250 0.683 0.150
Sb2 0.750 0.317 0.850
O1 0.750 0.802 0.024
O2 0.250 0.198 0.976
O3 0.250 0.839 0.438
O4 0.750 0.161 0.562
O5 0.750 0.533 0.245
O6 0.250 0.467 0.755

Output
Symmetry: No. 11
Formation energy without anion corrections in kJ/mol of atoms: -146.5
Total moment in μB/f.u.: 0.00
E in eV per atom: -5.2237

No. 5
Compound: Y2Cu4SiGe3
Source: the Alexandria database
Functional: PBE-GGA
Structure: relaxed

a b c (Å): 4.086 4.086 10.087
angles (deg): 90.00 90.00 90.00
Sites, in units of the cell vectors:
Y1 0.500 0.000 0.249
Y2 0.000 0.500 0.751
Cu1 0.500 0.500 0.000
Cu2 0.000 0.000 0.000
Cu3 0.500 0.000 0.630
Cu4 0.000 0.500 0.370
Si1 0.500 0.500 0.500
Ge1 0.000 0.000 0.500
Ge2 0.500 0.000 0.865
Ge3 0.000 0.500 0.135

Output
Symmetry: No. 115
Formation energy without anion corrections in kJ/mol of atoms: -46.7
Total moment in μB/f.u.: 0.00
E in eV per atom: -5.3430

No. 6
Compound: HoNpInO6
Source: the Alexandria database
Functional: PBE-GGA
Structure: relaxed

a b c (Å): 5.681 5.681 9.092
angles (deg): 90.00 90.00 120.00
Sites, in units of the cell vectors:
Ho1 0.333 0.667 0.250
Ho2 0.667 0.333 0.750
Np1 0.667 0.333 0.250
Np2 0.333 0.667 0.750
In1 0.000 0.000 0.000
In2 0.000 0.000 0.500
O1 0.674 0.650 0.131
O2 0.975 0.326 0.131
O3 0.326 0.975 0.631
O4 0.025 0.674 0.869
O5 0.350 0.326 0.369
O6 0.975 0.650 0.369
O7 0.650 0.975 0.869
O8 0.674 0.025 0.369
O9 0.025 0.350 0.631
O10 0.350 0.025 0.131
O11 0.650 0.674 0.631
O12 0.326 0.350 0.869

Output
Symmetry: No. 163
Formation energy without anion corrections in kJ/mol of atoms: -248.7
Total moment in μB/f.u.: 1.00
E in eV per atom: -8.1334

No. 7
Compound: Cu3Pd6Pt2
Source: the Alexandria database
Functional: PBE-GGA
Structure: relaxed

a b c (Å): 2.701 4.428 14.012
angles (deg): 99.10 95.53 90.00
Sites, in units of the cell vectors:
Cu1 0.000 0.000 0.000
Cu2 0.815 0.815 0.631
Cu3 0.185 0.185 0.369
Pd1 0.597 0.097 0.195
Pd2 0.134 0.634 0.269
Pd3 0.403 0.903 0.805
Pd4 0.866 0.366 0.731
Pd5 0.723 0.723 0.446
Pd6 0.277 0.277 0.554
Pt1 0.454 0.454 0.908
Pt2 0.546 0.546 0.092

Output
Symmetry: No. 71
Energy relative to the elements in kJ/mol of formula units: 12
Total moment in μB/f.u.: 0.00
E in eV per atom: -5.0366

No. 8
Compound: CaScOs2
Source: the Alexandria database
Functional: PBE-GGA
Structure: relaxed

a b c (Å): 4.667 4.667 4.667
angles (deg): 60.00 60.00 60.00
Sites, in units of the cell vectors:
Sc1 0.500 0.500 0.500
Ca1 0.000 0.000 0.000
Os1 0.250 0.250 0.250
Os2 0.750 0.750 0.750

Output
Symmetry: No. 225
Energy relative to the elements in kJ/mol of formula units: 140
Total moment in μB/f.u.: 0.00
E in eV per atom: -7.3347

No. 9
Compound: PuThFe2
Source: the Alexandria database
Functional: PBE-GGA
Structure: relaxed

a b c (Å): 4.810 4.810 4.810
angles (deg): 60.00 60.00 60.00
Sites, in units of the cell vectors:
Fe1 0.250 0.250 0.250
Fe2 0.750 0.750 0.750
Th1 0.000 0.000 0.000
Pu1 0.500 0.500 0.500

Output
Symmetry: No. 225
Energy relative to the elements in kJ/mol of formula units: 41
Total moment in μB/f.u.: 2.59
E in eV per atom: -9.5627

No. 10
Compound: Rb2SmCd2Te4
Source: the Alexandria database
Functional: PBE-GGA
Structure: relaxed

a b c (Å): 4.547 9.027 9.163
angles (deg): 112.39 104.37 90.00
Sites, in units of the cell vectors:
Rb1 0.127 0.567 0.255
Rb2 0.873 0.433 0.745
Sm1 0.000 0.000 0.000
Cd1 0.688 0.004 0.376
Cd2 0.312 0.996 0.624
Te1 0.191 0.215 0.381
Te2 0.809 0.785 0.619
Te3 0.521 0.771 0.043
Te4 0.479 0.229 0.957

Output
Symmetry: No. 12
Formation energy without anion corrections in kJ/mol of atoms: -84.9
Total moment in μB/f.u.: 0.00
E in eV per atom: -3.2190

No. 11
Compound: Li2HgOs
Source: the Alexandria database
Functional: PBE-GGA
Structure: relaxed

a b c (Å): 4.958 4.958 4.958
angles (deg): 134.86 134.86 65.74
Sites, in units of the cell vectors:
Hg1 0.750 0.250 0.500
Li1 0.000 0.000 0.000
Li2 0.250 0.750 0.500
Os1 0.500 0.500 0.000

Output
Symmetry: No. 119
Energy relative to the elements in kJ/mol of formula units: 162
Total moment in μB/f.u.: 0.00
E in eV per atom: -3.4203

No. 12
Compound: Sm6C2Br3N
Source: the Alexandria database
Functional: PBE-GGA
Structure: relaxed

a b c (Å): 6.470 6.470 7.608
angles (deg): 98.15 98.15 120.00
Sites, in units of the cell vectors:
Sm1 0.940 0.609 0.820
Sm2 0.729 0.729 0.180
Sm3 0.060 0.391 0.180
Sm4 0.609 0.940 0.820
Sm5 0.271 0.271 0.820
Sm6 0.391 0.060 0.180
C1 0.333 0.667 0.000
C2 0.667 0.333 0.000
Br1 0.168 0.832 0.500
Br2 0.832 0.168 0.500
Br3 0.500 0.500 0.500
N1 0.000 0.000 0.000

Output
Symmetry: No. 12
Formation energy without anion corrections in kJ/mol of atoms: -105.7
Total moment in μB/f.u.: 0.00
E in eV per atom: -6.1043

The highest total moment belongs to which entry?
Lu2PuSn

Which formula does entry 10 have?
Rb2SmCd2Te4

What did the first record say?
Compound: Li2AlAg4
Source: the Alexandria database
Functional: PBE-GGA
Structure: relaxed

a b c (Å): 4.854 4.854 7.585
angles (deg): 108.66 108.66 90.00
Sites, in units of the cell vectors:
Li1 0.611 0.611 0.221
Li2 0.389 0.389 0.779
Al1 0.000 0.000 0.000
Ag1 0.811 0.811 0.622
Ag2 0.189 0.189 0.378
Ag3 0.000 0.500 0.000
Ag4 0.500 0.000 0.000

Output
Symmetry: No. 139
Energy relative to the elements in kJ/mol of formula units: 165
Total moment in μB/f.u.: 0.00
E in eV per atom: -2.4666

Which formula does entry 10 have?
Rb2SmCd2Te4